(1)
A plane-wave DFT calculation with PBE was carried out for a relaxed LiPt3 crystal.

```
4
Lattice="9.218 -0.034 -0.020 8.815 2.693 -0.020 8.815 1.300 2.359" Properties=species:S:1:pos:R:3 pbc="T T T"
Li 0.000 0.000 0.000
Pt 6.818 1.005 0.589
Pt 13.424 1.979 1.159
Pt 20.030 2.953 1.730
```

Properties
The crystal system is trigonal. The value obtained for the formation energy from the elements is -0.298 eV per atom. As for the density of states at the Fermi level: 3.932 states/eV/f.u. Its total energy is -0.195 hartree per atom. As for the size of the total moment: 0.0 μB/cell.

---

(2)
A plane-wave DFT calculation with PBE was carried out for a relaxed Li3Pt13 crystal.

```
16
Lattice="5.532 0.049 0.000 0.051 5.532 0.000 0.000 0.000 7.868" Properties=species:S:1:pos:R:3 pbc="T T T"
Li 5.525 0.056 5.887
Li 4.172 1.410 0.000
Li 5.525 0.056 1.981
Pt 0.045 2.781 5.918
Pt 2.833 2.750 5.936
Pt 2.802 5.538 5.918
Pt 1.400 1.414 0.000
Pt 4.169 4.182 0.000
Pt 1.368 4.215 0.000
Pt 0.045 2.781 1.950
Pt 2.833 2.750 1.931
Pt 2.802 5.538 1.950
Pt 4.202 1.379 3.934
Pt 1.412 1.416 3.934
Pt 4.167 4.170 3.934
Pt 1.368 4.215 3.934
```

Properties
The crystal system is orthorhombic. The value obtained for the formation energy from the elements is -0.263 eV per atom. As for the density of states at the Fermi level: 23.289 states/eV/f.u. Its total energy is -0.203 hartree per atom. As for the size of the total moment: 0.0 μB/cell.

---

(3)
A plane-wave DFT calculation with PBE was carried out for a relaxed LiPt2 crystal.

```
9
Lattice="-7.379 0.465 0.395 3.248 -2.017 -6.341 -0.123 -2.595 0.763" Properties=species:S:1:pos:R:3 pbc="T T T"
Li -0.061 -1.297 0.381
Li -0.294 -1.190 -4.095
Li -3.837 -0.362 -1.850
Pt -2.892 -1.086 -4.162
Pt -1.563 -1.861 -1.779
Pt 0.974 -0.605 -1.902
Pt 2.006 -2.582 -3.655
Pt -2.214 0.140 0.119
Pt -4.759 -1.001 0.633
```

Properties
The crystal system is hexagonal. The value obtained for the formation energy from the elements is -0.339 eV per atom. As for the density of states at the Fermi level: 4.021 states/eV/f.u. Its total energy is -0.184 hartree per atom. As for the size of the total moment: 0.0 μB/cell.

---

(4)
A plane-wave DFT calculation with PBE was carried out for a relaxed LiPt2 crystal.

```
3
Lattice="3.980 0.000 0.000 1.990 3.446 0.000 1.990 1.149 3.249" Properties=species:S:1:pos:R:3 pbc="T T T"
Li 0.000 0.000 0.000
Pt 5.969 3.446 2.437
Pt 1.990 1.149 0.812
```

Properties
The crystal system is cubic. The value obtained for the formation energy from the elements is -0.038 eV per atom. As for the density of states at the Fermi level: 3.996 states/eV/f.u. Its total energy is -0.173 hartree per atom. As for the size of the total moment: 0.0 μB/cell.